Record 1
A plane-wave DFT calculation with GGA-PBE was carried out for La4Nd2Tm after structural relaxation.

Total magnetic moment   0.00 μB per formula unit
SG   No. 74
Crystal system   orthorhombic
ΔH_f (0 K)   0.19 eV/atom
Energy above the most stable polymorph in this dataset   177 meV/atom

Structure (CIF):
```
data_La4Nd2Tm
_chemical_formula_sum 'La8 Nd4 Tm2'
_cell_length_a 6.9679
_cell_length_b 9.2076
_cell_length_c 9.2076
_cell_angle_alpha 78.91
_cell_angle_beta 67.77
_cell_angle_gamma 67.77
_space_group_name_H-M_alt 'P 1'
_space_group_IT_number 1
loop_
_space_group_symop_operation_xyz
'x,y,z'
loop_
_atom_site_label
_atom_site_fract_x
_atom_site_fract_y
_atom_site_fract_z
La1 0.1482 0.3570 0.3466
La2 0.1482 0.8466 0.8570
La3 0.2259 0.2435 0.7435
La4 0.7871 0.2435 0.7435
La5 0.2129 0.7565 0.2565
La6 0.8518 0.1534 0.1430
La7 0.7741 0.7565 0.2565
La8 0.8518 0.6430 0.6534
Nd1 0.2831 0.9669 0.4669
Nd2 0.5000 0.0000 0.0000
Nd3 0.5000 0.5000 0.5000
Nd4 0.7169 0.0331 0.5331
Tm1 0.0000 0.5000 0.0000
Tm2 0.5000 0.5000 0.0000
```

***

Record 2
A plane-wave DFT calculation with GGA-PBE was carried out for La2Nd3Tm2 after structural relaxation.

Total magnetic moment   0.00 μB per formula unit
SG   No. 2
Crystal system   triclinic
ΔH_f (0 K)   0.02 eV/atom
Energy above the most stable polymorph in this dataset   0 meV/atom

Structure (CIF):
```
data_La2Nd3Tm2
_chemical_formula_sum 'La2 Nd3 Tm2'
_cell_length_a 6.3310
_cell_length_b 8.1472
_cell_length_c 6.2831
_cell_angle_alpha 74.90
_cell_angle_beta 99.50
_cell_angle_gamma 130.05
_space_group_name_H-M_alt 'P 1'
_space_group_IT_number 1
loop_
_space_group_symop_operation_xyz
'x,y,z'
loop_
_atom_site_label
_atom_site_fract_x
_atom_site_fract_y
_atom_site_fract_z
La1 0.1453 0.8566 0.5757
La2 0.8547 0.1434 0.4243
Nd1 0.0000 0.0000 0.0000
Nd2 0.5749 0.4301 0.2866
Nd3 0.4251 0.5699 0.7134
Tm1 0.7138 0.2856 0.8602
Tm2 0.2862 0.7144 0.1398
```

***

Record 3
A plane-wave DFT calculation with GGA-PBE was carried out for La4Nd7Tm after structural relaxation.

Total magnetic moment   0.00 μB per formula unit
SG   No. 2
Crystal system   triclinic
ΔH_f (0 K)   0.02 eV/atom
Energy above the most stable polymorph in this dataset   0 meV/atom

Structure (CIF):
```
data_La4Nd7Tm
_chemical_formula_sum 'La4 Nd7 Tm1'
_cell_length_a 7.4145
_cell_length_b 6.4180
_cell_length_c 11.8469
_cell_angle_alpha 79.52
_cell_angle_beta 51.21
_cell_angle_gamma 90.04
_space_group_name_H-M_alt 'P 1'
_space_group_IT_number 1
loop_
_space_group_symop_operation_xyz
'x,y,z'
loop_
_atom_site_label
_atom_site_fract_x
_atom_site_fract_y
_atom_site_fract_z
La1 0.4235 0.7227 0.3285
La2 0.5765 0.2773 0.6715
La3 0.8320 0.7744 0.6679
La4 0.1679 0.2256 0.3321
Nd1 0.7534 0.4993 0.9993
Nd2 0.2466 0.5007 0.0007
Nd3 0.0803 0.2743 0.6738
Nd4 0.9197 0.7257 0.3262
Nd5 0.3299 0.7787 0.6706
Nd6 0.5000 0.0000 0.0000
Nd7 0.6701 0.2213 0.3294
Tm1 0.0000 0.0000 0.0000
```

***

Repeat the first record exactly.
A plane-wave DFT calculation with GGA-PBE was carried out for La4Nd2Tm after structural relaxation.

Total magnetic moment   0.00 μB per formula unit
SG   No. 74
Crystal system   orthorhombic
ΔH_f (0 K)   0.19 eV/atom
Energy above the most stable polymorph in this dataset   177 meV/atom

Structure (CIF):
```
data_La4Nd2Tm
_chemical_formula_sum 'La8 Nd4 Tm2'
_cell_length_a 6.9679
_cell_length_b 9.2076
_cell_length_c 9.2076
_cell_angle_alpha 78.91
_cell_angle_beta 67.77
_cell_angle_gamma 67.77
_space_group_name_H-M_alt 'P 1'
_space_group_IT_number 1
loop_
_space_group_symop_operation_xyz
'x,y,z'
loop_
_atom_site_label
_atom_site_fract_x
_atom_site_fract_y
_atom_site_fract_z
La1 0.1482 0.3570 0.3466
La2 0.1482 0.8466 0.8570
La3 0.2259 0.2435 0.7435
La4 0.7871 0.2435 0.7435
La5 0.2129 0.7565 0.2565
La6 0.8518 0.1534 0.1430
La7 0.7741 0.7565 0.2565
La8 0.8518 0.6430 0.6534
Nd1 0.2831 0.9669 0.4669
Nd2 0.5000 0.0000 0.0000
Nd3 0.5000 0.5000 0.5000
Nd4 0.7169 0.0331 0.5331
Tm1 0.0000 0.5000 0.0000
Tm2 0.5000 0.5000 0.0000
```

***

The highest energy above the most stable polymorph in this dataset belongs to which entry? La4Nd2Tm

***

Copy entry 3 word for word.
A plane-wave DFT calculation with GGA-PBE was carried out for La4Nd7Tm after structural relaxation.

Total magnetic moment   0.00 μB per formula unit
SG   No. 2
Crystal system   triclinic
ΔH_f (0 K)   0.02 eV/atom
Energy above the most stable polymorph in this dataset   0 meV/atom

Structure (CIF):
```
data_La4Nd7Tm
_chemical_formula_sum 'La4 Nd7 Tm1'
_cell_length_a 7.4145
_cell_length_b 6.4180
_cell_length_c 11.8469
_cell_angle_alpha 79.52
_cell_angle_beta 51.21
_cell_angle_gamma 90.04
_space_group_name_H-M_alt 'P 1'
_space_group_IT_number 1
loop_
_space_group_symop_operation_xyz
'x,y,z'
loop_
_atom_site_label
_atom_site_fract_x
_atom_site_fract_y
_atom_site_fract_z
La1 0.4235 0.7227 0.3285
La2 0.5765 0.2773 0.6715
La3 0.8320 0.7744 0.6679
La4 0.1679 0.2256 0.3321
Nd1 0.7534 0.4993 0.9993
Nd2 0.2466 0.5007 0.0007
Nd3 0.0803 0.2743 0.6738
Nd4 0.9197 0.7257 0.3262
Nd5 0.3299 0.7787 0.6706
Nd6 0.5000 0.0000 0.0000
Nd7 0.6701 0.2213 0.3294
Tm1 0.0000 0.0000 0.0000
```

***

Which value of energy above the most stable polymorph in this dataset does entry 1 give? 177 meV/atom